Entry 1:
A geometry-optimized MgTiTc structure, computed with PBE.

Summary:
As for the total energy: -6.49 eV/atom.

POSCAR file:
```
MgTiTc
1.0
2.310 1.333 5.829
-2.310 1.333 5.829
0.000 -2.667 5.829
Mg Ti Tc
2 2 2
direct
0.120 0.120 0.120
0.880 0.880 0.880
0.295 0.295 0.295
0.705 0.705 0.705
0.427 0.427 0.427
0.573 0.573 0.573
```

Entry 2:
A geometry-optimized Mg3TiTc structure, computed with PBE.

Summary:
The value obtained for the excess energy over the best structure of this formula in the dataset is 0.000 eV/atom.

POSCAR file:
```
Mg3TiTc
1.0
4.881 0.000 0.000
0.000 4.881 0.000
0.000 0.000 4.881
Mg Ti Tc
3 1 1
direct
0.000 0.000 0.500
0.000 0.500 0.000
0.500 0.000 0.000
0.500 0.500 0.500
0.000 0.000 0.000
```

Entry 3:
A geometry-optimized MgTiTc3 structure, computed with PBE.

Summary:
The value obtained for the excess energy over the best structure of this formula in the dataset is 0.597 eV/atom.

POSCAR file:
```
MgTiTc3
1.0
4.468 0.000 0.000
0.000 4.468 0.000
0.000 0.000 4.468
Mg Ti Tc
1 1 3
direct
0.000 0.000 0.000
0.500 0.500 0.500
0.000 0.000 0.500
0.000 0.500 0.000
0.500 0.000 0.000
```

Entry 4:
A geometry-optimized Mg2TiTc2 structure, computed with PBE.

Summary:
As for the total energy: -6.11 eV/atom.

POSCAR file:
```
Mg2TiTc2
1.0
6.291 0.000 0.000
0.000 6.291 0.000
0.000 0.000 4.576
Mg Ti Tc
4 2 4
direct
0.169 0.331 0.000
0.331 0.831 0.000
0.669 0.169 0.000
0.831 0.669 0.000
0.000 0.000 0.500
0.500 0.500 0.500
0.136 0.636 0.500
0.364 0.136 0.500
0.636 0.864 0.500
0.864 0.364 0.500
```

Entry 5:
A geometry-optimized MgTi2Tc structure, computed with PBE.

Summary:
As for the total energy: -7.14 eV/atom.

POSCAR file:
```
MgTi2Tc
1.0
3.182 0.000 0.000
0.000 3.182 0.000
0.000 0.000 6.780
Mg Ti Tc
1 2 1
direct
0.000 0.000 0.000
0.500 0.500 0.290
0.500 0.500 0.710
0.000 0.000 0.500
```

Entry 6:
A geometry-optimized MgTiTc4 structure, computed with PBE.

Summary:
As for the total energy: -8.51 eV/atom.

POSCAR file:
```
MgTiTc4
1.0
0.000 3.651 3.651
3.651 0.000 3.651
3.651 3.651 0.000
Mg Ti Tc
1 1 4
direct
0.000 0.000 0.000
0.250 0.250 0.250
0.125 0.625 0.625
0.625 0.125 0.625
0.625 0.625 0.125
0.625 0.625 0.625
```

Entry 7:
A geometry-optimized MgZrTiTc structure, computed with PBE.

Summary:
As for the total energy: -7.20 eV/atom.

POSCAR file:
```
MgZrTiTc
1.0
0.000 3.298 3.298
3.298 0.000 3.298
3.298 3.298 0.000
Mg Zr Ti Tc
1 1 1 1
direct
0.000 0.000 0.000
0.250 0.250 0.250
0.750 0.750 0.750
0.500 0.500 0.500
```

Entry 8:
A geometry-optimized Mg2TlTc structure, computed with PBE.

Summary:
The value obtained for the excess energy over the best structure of this formula in the dataset is 0.186 eV/atom.

POSCAR file:
```
Mg2TlTc
1.0
0.000 3.335 3.335
3.335 0.000 3.335
3.335 3.335 0.000
Mg Tl Tc
2 1 1
direct
0.250 0.250 0.250
0.750 0.750 0.750
0.000 0.000 0.000
0.500 0.500 0.500
```

Entry 9:
A geometry-optimized MgTl4Tc structure, computed with PBE.

Summary:
As for the total energy: -2.75 eV/atom.

POSCAR file:
```
MgTl4Tc
1.0
0.000 4.372 4.372
4.372 0.000 4.372
4.372 4.372 0.000
Mg Tl Tc
1 4 1
direct
0.000 0.000 0.000
0.375 0.375 0.375
0.375 0.375 0.874
0.375 0.874 0.375
0.874 0.375 0.375
0.750 0.750 0.750
```

Entry 10:
A geometry-optimized MgTlTc3 structure, computed with PBE.

Summary:
The value obtained for the excess energy over the best structure of this formula in the dataset is 0.000 eV/atom.

POSCAR file:
```
MgTlTc3
1.0
4.628 0.000 0.000
0.000 4.628 0.000
0.000 0.000 4.628
Mg Tl Tc
1 1 3
direct
0.000 0.000 0.000
0.500 0.500 0.500
0.000 0.000 0.500
0.000 0.500 0.000
0.500 0.000 0.000
```

Entry 11:
A geometry-optimized Mg3TlTc structure, computed with PBE.

Summary:
The value obtained for the excess energy over the best structure of this formula in the dataset is 0.000 eV/atom.

POSCAR file:
```
Mg3TlTc
1.0
5.105 0.000 0.000
0.000 5.105 0.000
0.000 0.000 5.105
Mg Tl Tc
3 1 1
direct
0.000 0.000 0.500
0.000 0.500 0.000
0.500 0.000 0.000
0.500 0.500 0.500
0.000 0.000 0.000
```

Entry 12:
A geometry-optimized Mg2TlTc structure, computed with PBE.

Summary:
The value obtained for the excess energy over the best structure of this formula in the dataset is 0.043 eV/atom.

POSCAR file:
```
Mg2TlTc
1.0
4.232 0.000 0.000
0.000 4.232 0.000
0.000 0.000 4.200
Mg Tl Tc
2 1 1
direct
0.000 0.500 0.000
0.500 0.000 0.000
0.000 0.000 0.500
0.500 0.500 0.500
```